# NdTm5Cd6 | Alexandria | PBE | relaxed
data_NdTm5Cd6
_symmetry_space_group_name_H-M 'P 1'
_symmetry_Int_Tables_number 1
_symmetry_space_group_name_Hall 'P 1'
_cell_length_a 5.246
_cell_length_b 7.478
_cell_length_c 8.330
_cell_angle_alpha 90.00
_cell_angle_beta 71.64
_cell_angle_gamma 90.00
loop_
_atom_site_label
_atom_site_fract_x
_atom_site_fract_y
_atom_site_fract_z
_atom_site_occupancy
Tm1 0.000 0.500 0.000 1
Tm2 0.669 0.000 0.662 1
Tm3 0.331 0.000 0.338 1
Tm4 0.664 0.500 0.672 1
Cd1 0.170 0.743 0.660 1
Cd2 0.500 0.744 0.000 1
Cd3 0.170 0.257 0.660 1
Cd4 0.830 0.257 0.340 1
Nd1 0.000 0.000 0.000 1
Cd5 0.500 0.256 0.000 1
Tm5 0.336 0.500 0.328 1
Cd6 0.830 0.743 0.340 1
# uncorrected energy = -3.0248 eV per atom
# space-group type = Cmmm
# formation energy from the elements = -0.3068 eV/atom